#i
A plane-wave DFT calculation with PBE was carried out for a geometry-optimized TbSmMgSc structure.

Calculated values
Fermi-level density of states in states/eV per cell: 17.879
Crystal system: cubic
ρ in kg/m³: 5581
M_tot in Bohr magnetons per cell: 0.01

Cell lengths 7.6659, 7.6659, 7.6659 Å; angles 90.00, 90.00, 90.00 degrees
Space group F-43m (No. 216)
Symmetry-distinct sites (fractional):
Tb 0.0000 0.0000 0.0000
Sm 0.0000 0.0000 0.5000
Mg 0.2500 0.2500 0.7500
Sc 0.2500 0.2500 0.2500

#ii
A plane-wave DFT calculation with PBE was carried out for a geometry-optimized TbSmMgSc structure.

Calculated values
Fermi-level density of states in states/eV per cell: 6.775
Crystal system: tetragonal
ρ in kg/m³: 5500
M_tot in Bohr magnetons per cell: 0.01

Cell lengths 3.5792, 3.5792, 8.9213 Å; angles 90.00, 90.00, 90.00 degrees
Space group P4mm (No. 99)
Symmetry-distinct sites (fractional):
Tb 0.0000 0.0000 0.0000
Sm 0.0000 0.0000 0.4999
Mg 0.5000 0.5000 0.2468
Sc 0.5000 0.5000 0.7524

So which one is most stable? That would be #ii, about 28 meV/atom below the next structure.

#i
A plane-wave DFT calculation with PBE was carried out for a geometry-optimized SmYMgSc structure.

Calculated values
Fermi-level density of states in states/eV per cell: 7.086
Crystal system: tetragonal
ρ in kg/m³: 4469
M_tot in Bohr magnetons per cell: 0.00

Cell lengths 3.5764, 3.5764, 8.9633 Å; angles 90.00, 90.00, 90.00 degrees
Space group P4mm (No. 99)
Symmetry-distinct sites (fractional):
Sm 0.0000 0.0000 0.0000
Y 0.0000 0.0000 0.5007
Mg 0.5000 0.5000 0.7468
Sc 0.5000 0.5000 0.2515

#ii
A plane-wave DFT calculation with PBE was carried out for a geometry-optimized SmYMgSc structure.

Calculated values
Fermi-level density of states in states/eV per cell: 18.653
Crystal system: cubic
ρ in kg/m³: 4537
M_tot in Bohr magnetons per cell: 0.00

Cell lengths 7.6726, 7.6726, 7.6726 Å; angles 90.00, 90.00, 90.00 degrees
Space group F-43m (No. 216)
Symmetry-distinct sites (fractional):
Sm 0.0000 0.0000 0.0000
Y 0.0000 0.0000 0.5000
Mg 0.2500 0.2500 0.2500
Sc 0.2500 0.2500 0.7500

So which one is most stable? That would be #i, about 29 meV/atom below the next structure.

#i
A plane-wave DFT calculation with PBE was carried out for a geometry-optimized Mg2Sc2Sn structure.

Calculated values
Fermi-level density of states in states/eV per cell: 4.234
Crystal system: tetragonal
ρ in kg/m³: 3647
M_tot in Bohr magnetons per cell: 0.00

Cell lengths 7.2347, 7.2347, 4.4754 Å; angles 90.00, 90.00, 90.00 degrees
Space group P4/mbm (No. 127)
Symmetry-distinct sites (fractional):
Mg 0.1342 0.3658 0.0000
Sc 0.1645 0.6645 0.5000
Sn 0.0000 0.0000 0.0000

#ii
A plane-wave DFT calculation with PBE was carried out for a geometry-optimized Mg2Sc2Sn structure.

Calculated values
Fermi-level density of states in states/eV per cell: 10.835
Crystal system: tetragonal
ρ in kg/m³: 3445
M_tot in Bohr magnetons per cell: 0.00

Cell lengths 7.7249, 7.7249, 4.1561 Å; angles 90.00, 90.00, 90.00 degrees
Space group P4/mbm (No. 127)
Symmetry-distinct sites (fractional):
Mg 0.1515 0.3485 0.0000
Sc 0.1481 0.6481 0.5000
Sn 0.0000 0.0000 0.5000

So which one is most stable? That would be #i, about 121 meV/atom below the next structure.

#i
A plane-wave DFT calculation with PBE was carried out for a geometry-optimized MgSc3Sn structure.

Calculated values
Fermi-level density of states in states/eV per cell: 12.325
Crystal system: orthorhombic
ρ in kg/m³: 3567
M_tot in Bohr magnetons per cell: 0.00

Cell lengths 4.6551, 6.1847, 8.9869 Å; angles 90.00, 90.00, 90.00 degrees
Space group Pmmn (No. 59, origin choice 2)
Symmetry-distinct sites (fractional):
Mg 0.2500 0.2500 0.0705
Sc 0.2500 0.0021 0.7545
Sc 0.2500 0.2500 0.4203
Sn 0.2500 0.7500 0.3823

#ii
A plane-wave DFT calculation with PBE was carried out for a geometry-optimized MgSc3Sn structure.

Calculated values
Fermi-level density of states in states/eV per cell: 8.266
Crystal system: cubic
ρ in kg/m³: 2937
M_tot in Bohr magnetons per cell: 1.21

Cell lengths 5.3958, 5.3958, 5.3958 Å; angles 90.00, 90.00, 90.00 degrees
Space group Pm-3m (No. 221)
Symmetry-distinct sites (fractional):
Mg 0.0000 0.0000 0.0000
Sc 0.0000 0.5000 0.5000
Sn 0.5000 0.5000 0.5000

So which one is most stable? That would be #i, about 438 meV/atom below the next structure.